(1)
{"formula": "Zn3TcF", "functional": "PBE", "state": "relaxed", "raw_formation_energy_mev_per_atom": 545, "sg": "Pm-3m (221)", "polymorph_energy_mev_per_atom": 542, "cell": [[4.977, 0.000, 0.000], [0.000, 4.977, 0.000], [0.000, 0.000, 4.977]], "species": ["Zn", "Zn", "Zn", "Tc", "F"], "fractional_positions": [[0.000, 0.000, 0.500], [0.000, 0.500, 0.000], [0.500, 0.000, 0.000], [0.000, 0.000, 0.000], [0.500, 0.500, 0.500]]}

(2)
{"formula": "BaZnTe2", "functional": "PBE", "state": "relaxed", "raw_formation_energy_mev_per_atom": -991, "sg": "Cm (8)", "cell": [[6.816, -2.228, 0.000], [6.816, 2.228, 0.000], [-0.454, 0.000, 5.194]], "species": ["Ba", "Zn", "Te", "Te"], "fractional_positions": [[0.000, 0.000, 0.000], [0.281, 0.281, 0.241], [0.451, 0.451, 0.490], [0.713, 0.713, 0.012]]}

(3)
{"formula": "Ca2SiNi", "functional": "PBE", "state": "relaxed", "raw_formation_energy_mev_per_atom": -121, "sg": "Cmmm (65)", "cell": [[3.476, -3.508, 0.000], [3.476, 3.508, 0.000], [0.000, 0.000, 3.525]], "species": ["Ca", "Ca", "Si", "Ni"], "fractional_positions": [[0.000, 0.500, 0.000], [0.500, 0.000, 0.000], [0.000, 0.000, 0.500], [0.500, 0.500, 0.500]]}

(4)
{"formula": "NaZrPN3", "functional": "PBE", "state": "relaxed", "raw_formation_energy_mev_per_atom": -506, "sg": "P2_1/m (11)", "cell": [[6.784, 0.000, 0.000], [0.000, 3.345, 0.000], [-0.658, 0.000, 8.431]], "species": ["Na", "Na", "Zr", "Zr", "P", "P", "N", "N", "N", "N", "N", "N"], "fractional_positions": [[0.146, 0.250, 0.206], [0.854, 0.750, 0.794], [0.389, 0.750, 0.864], [0.611, 0.250, 0.136], [0.126, 0.250, 0.568], [0.874, 0.750, 0.432], [0.137, 0.750, 0.474], [0.191, 0.250, 0.756], [0.400, 0.750, 0.105], [0.600, 0.250, 0.895], [0.809, 0.750, 0.244], [0.863, 0.250, 0.526]]}

(5)
{"formula": "SmY8Tm2", "functional": "PBE", "state": "relaxed", "e_form_mev_per_atom": 178, "sg": "Cmmm (65)", "polymorph_energy_mev_per_atom": 16, "cell": [[5.090, -6.628, 0.000], [5.090, 6.628, 0.000], [0.000, 0.000, 5.412]], "species": ["Sm", "Y", "Y", "Y", "Y", "Y", "Y", "Y", "Y", "Tm", "Tm"], "fractional_positions": [[0.000, 0.000, 0.000], [0.031, 0.302, 0.500], [0.256, 0.744, 0.000], [0.302, 0.031, 0.500], [0.335, 0.335, 0.000], [0.665, 0.665, 0.000], [0.698, 0.969, 0.500], [0.744, 0.256, 0.000], [0.969, 0.698, 0.500], [0.381, 0.619, 0.500], [0.619, 0.381, 0.500]]}

(6)
{"formula": "PmDyHo2Er6", "functional": "PBE", "state": "relaxed", "e_form_mev_per_atom": 122, "sg": "C2/c (15)", "cell": [[4.505, -7.465, 0.000], [4.505, 7.465, 0.000], [-1.169, 0.000, 9.390]], "species": ["Pm", "Pm", "Dy", "Dy", "Ho", "Ho", "Ho", "Ho", "Er", "Er", "Er", "Er", "Er", "Er", "Er", "Er", "Er", "Er", "Er", "Er"], "fractional_positions": [[0.025, 0.975, 0.750], [0.975, 0.025, 0.250], [0.409, 0.591, 0.250], [0.591, 0.409, 0.750], [0.197, 0.303, 0.546], [0.303, 0.197, 0.046], [0.697, 0.803, 0.954], [0.803, 0.697, 0.454], [0.020, 0.568, 0.683], [0.124, 0.750, 0.057], [0.250, 0.876, 0.443], [0.291, 0.508, 0.882], [0.432, 0.980, 0.817], [0.492, 0.709, 0.618], [0.508, 0.291, 0.382], [0.568, 0.020, 0.183], [0.709, 0.492, 0.118], [0.750, 0.124, 0.557], [0.876, 0.250, 0.943], [0.980, 0.432, 0.317]]}

(7)
{"formula": "NaEu2N", "functional": "PBE", "state": "relaxed", "raw_formation_energy_mev_per_atom": -526, "sg": "R-3m (166)", "cell": [[1.815, 1.048, 10.231], [-1.815, 1.048, 10.231], [0.000, -2.096, 10.231]], "species": ["Na", "Eu", "Eu", "N"], "fractional_positions": [[0.000, 0.000, 0.000], [0.122, 0.122, 0.122], [0.878, 0.878, 0.878], [0.500, 0.500, 0.500]]}

(8)
{"formula": "Zn2Ag4Au3", "functional": "PBE", "state": "relaxed", "e_form_mev_per_atom": -92, "sg": "C2/m (12)", "polymorph_energy_mev_per_atom": 0, "cell": [[6.386, -1.985, 0.000], [6.386, 1.985, 0.000], [-2.192, 0.000, 6.137]], "species": ["Zn", "Zn", "Ag", "Ag", "Ag", "Ag", "Au", "Au", "Au"], "fractional_positions": [[0.159, 0.159, 0.003], [0.841, 0.841, 0.997], [0.057, 0.057, 0.345], [0.282, 0.282, 0.673], [0.718, 0.718, 0.327], [0.943, 0.943, 0.655], [0.376, 0.376, 0.298], [0.500, 0.500, 0.000], [0.624, 0.624, 0.702]]}

(9)
{"formula": "KThTe3", "functional": "PBE", "state": "relaxed", "raw_formation_energy_mev_per_atom": -926, "sg": "Pm-3m (221)", "polymorph_energy_mev_per_atom": 69, "cell": [[6.122, 0.000, 0.000], [0.000, 6.122, 0.000], [0.000, 0.000, 6.122]], "species": ["K", "Th", "Te", "Te", "Te"], "fractional_positions": [[0.000, 0.000, 0.000], [0.500, 0.500, 0.500], [0.000, 0.500, 0.500], [0.500, 0.000, 0.500], [0.500, 0.500, 0.000]]}

(10)
{"formula": "RbHf2B", "functional": "PBE", "state": "relaxed", "e_form_mev_per_atom": 1000, "sg": "I-42d (122)", "cell": [[-3.597, 3.597, 5.079], [3.597, -3.597, 5.079], [3.597, 3.597, -5.079]], "species": ["Rb", "Rb", "Hf", "Hf", "Hf", "Hf", "B", "B"], "fractional_positions": [[0.000, 0.000, 0.000], [0.750, 0.250, 0.500], [0.374, 0.625, 0.249], [0.375, 0.624, 0.749], [0.376, 0.125, 0.751], [0.875, 0.626, 0.251], [0.250, 0.750, 0.500], [0.500, 0.500, 0.000]]}